Here is a geometry-optimized Pm3Pr2Ag2 structure from the Alexandria database. Energies are from PBE-GGA.

Properties
The calculation puts the formation enthalpy at 0 K at -120 meV per atom. The calculation puts the density of states at the Fermi level at 15.80 states/eV per cell. As for the energy above the most stable polymorph in this dataset: 0.0000 eV per atom.

Cell and atoms, written as CIF:
```
data_Pm3Pr2Ag2
_symmetry_space_group_name_H-M 'C 1 2/m 1'
_symmetry_Int_Tables_number 12
_cell_length_a 13.2149
_cell_length_b 3.8481
_cell_length_c 9.4937
_cell_angle_alpha 90.00
_cell_angle_beta 116.16
_cell_angle_gamma 90.00
loop_
_symmetry_equiv_pos_as_xyz
'x,y,z'
'-x,-y,-z'
'-x,y,-z'
'x,-y,z'
'x+1/2,y+1/2,z'
'-x+1/2,-y+1/2,-z'
'-x+1/2,y+1/2,-z'
'x+1/2,-y+1/2,z'
loop_
_atom_site_label
_atom_site_type_symbol
_atom_site_fract_x
_atom_site_fract_y
_atom_site_fract_z
Pm1 Pm 0.0000 0.0000 0.0000
Pm2 Pm 0.1124 0.0000 0.4476
Pr1 Pr 0.1480 0.5000 0.8132
Ag1 Ag 0.1690 0.5000 0.2292
```